1.
Computed, not measured: CaY2AuO after structural relaxation at the PBE level of DFT.

abc: 4.7516 4.7516 4.7230
angles: 90.00 90.00 90.00
Space group P4/mmm (No. 123)
Unique sites:
Ca: 0.0000 0.0000 0.0000 [1 per cell]
Y: 0.0000 0.5000 0.5000 [2 per cell]
Au: 0.5000 0.5000 0.0000 [1 per cell]
O: 0.0000 0.0000 0.5000 [1 per cell]

Results
Raw formation energy in eV/atom: -1.421


2.
Computed, not measured: CaYAuO4 after structural relaxation at the PBE level of DFT.

abc: 6.0596 10.7161 6.7575
angles: 90.00 90.00 90.00
Space group Cmcm (No. 63)
Unique sites:
Ca: 0.0000 0.0000 0.0000 [4 per cell]
Y: 0.0000 0.3313 0.2500 [4 per cell]
Au: 0.0000 0.3564 0.7500 [4 per cell]
O: 0.0000 0.2188 0.5237 [8 per cell]
O: 0.2315 0.4892 0.2500 [8 per cell]

Results
Raw formation energy in eV/atom: -1.777


3.
Computed, not measured: Ca2YAuO after structural relaxation at the PBE level of DFT.

abc: 4.6925 4.6925 4.8900
angles: 90.00 90.00 90.00
Space group P4/mmm (No. 123)
Unique sites:
Ca: 0.0000 0.5000 0.0000 [2 per cell]
Y: 0.0000 0.0000 0.5000 [1 per cell]
Au: 0.5000 0.5000 0.5000 [1 per cell]
O: 0.0000 0.0000 0.0000 [1 per cell]

Results
Raw formation energy in eV/atom: -1.417


4.
Computed, not measured: CaOsAu2 after structural relaxation at the PBE level of DFT.

abc: 10.5910 3.0065 5.0709
angles: 90.00 113.55 90.00
Space group Cm (No. 8)
Unique sites:
Ca: 0.0000 0.0000 0.0000 [2 per cell]
Os: 0.2510 0.5000 0.4221 [2 per cell]
Au: 0.2422 0.0000 0.8865 [2 per cell]
Au: 0.4836 0.0000 0.4763 [2 per cell]

Results
Electronic total energy in eV/atom: -4.767


5.
Computed, not measured: CaOsAu2 after structural relaxation at the PBE level of DFT.

abc: 6.7390 6.7390 6.7390
angles: 90.00 90.00 90.00
Space group Fm-3m (No. 225)
Unique sites:
Ca: 0.0000 0.0000 0.0000 [4 per cell]
Os: 0.0000 0.0000 0.5000 [4 per cell]
Au: 0.2500 0.2500 0.2500 [8 per cell]

Results
Electronic total energy in eV/atom: -4.668


6.
Computed, not measured: CaOsAu after structural relaxation at the PBE level of DFT.

abc: 2.8630 2.8630 13.6030
angles: 90.00 90.00 90.00
Space group I4mm (No. 107)
Unique sites:
Ca: 0.0000 0.0000 0.0000 [2 per cell]
Os: 0.0000 0.0000 0.6668 [2 per cell]
Au: 0.0000 0.0000 0.3202 [2 per cell]

Results
Electronic total energy in eV/atom: -5.102